Computed, not measured: a relaxed structure of Ce2AlZn12Cu3 at the PBE-GGA level of DFT.

abc: 7.576 7.576 7.576
angles: 68.60 68.60 68.60
Last column: magnetic moment on the atom in μB.
Atoms (fractional coordinates):
Zn  0.000  0.347  0.347  0.01
Cu  0.000  0.000  0.500  0.01
Ce  0.579  0.579  0.579  1.06
Ce  0.421  0.421  0.421  1.06
Zn  0.358  0.854  0.854  0.00
Zn  0.653  0.000  0.653  0.01
Zn  0.347  0.347  0.000  0.01
Cu  0.000  0.500  0.000  0.01
Zn  0.000  0.653  0.653  0.01
Zn  0.347  0.000  0.347  0.01
Zn  0.146  0.146  0.642  0.00
Al  0.000  0.000  0.000  0.00
Cu  0.500  0.000  0.000  0.01
Zn  0.653  0.653  0.000  0.01
Zn  0.854  0.854  0.358  0.00
Zn  0.642  0.146  0.146  0.00
Zn  0.146  0.642  0.146  0.00
Zn  0.854  0.358  0.854  0.00

## Properties
**Calculated total energy**: -2.148 eV per atom

---

Computed, not measured: a relaxed structure of CeDy4Al5 at the PBE-GGA level of DFT.

abc: 3.560 3.560 18.592
angles: 90.00 90.00 90.00
Last column: magnetic moment on the atom in μB.
Atoms (fractional coordinates):
Dy  0.000  0.000  0.402  0.00
Al  0.500  0.500  0.303  0.00
Dy  0.000  0.000  0.795  0.00
Al  0.500  0.500  0.107  0.00
Al  0.500  0.500  0.893  0.00
Dy  0.000  0.000  0.205  0.00
Al  0.500  0.500  0.697  0.00
Dy  0.000  0.000  0.598  0.00
Ce  0.000  0.000  0.000  0.59
Al  0.500  0.500  0.500  0.00

## Properties
**Calculated total energy**: -4.677 eV per atom

---

Computed, not measured: a relaxed structure of Ce2Dy2Al at the PBE-GGA level of DFT.

abc: 3.794 3.794 10.299
angles: 100.61 100.61 90.00
Atoms (fractional coordinates):
Ce  0.250  0.750  0.500
Dy  0.414  0.414  0.828
Ce  0.750  0.250  0.500
Al  0.000  0.000  0.000
Dy  0.586  0.586  0.172

## Properties
**Calculated total energy**: -4.722 eV per atom

---

Computed, not measured: a relaxed structure of Ce2Dy5Al4 at the PBE-GGA level of DFT.

abc: 3.512 8.740 11.056
angles: 113.28 99.14 90.00
Atoms (fractional coordinates):
Ce  0.570  0.570  0.140
Dy  0.160  0.941  0.321
Dy  0.840  0.059  0.679
Ce  0.430  0.430  0.860
Dy  0.160  0.380  0.321
Al  0.000  0.269  0.000
Dy  0.500  0.000  0.000
Dy  0.840  0.620  0.679
Al  0.719  0.719  0.438
Al  0.000  0.731  0.000
Al  0.281  0.281  0.562

## Properties
**Calculated total energy**: -4.580 eV per atom